No. 1
Computed, not measured: AcHo2Mn after structural relaxation at the PBE-GGA level of DFT.

Unit cell a=3.599 b=3.599 c=9.146 alpha=90.00 beta=90.00 gamma=90.00
Each line ends with the local moment (μB).
Fractional coordinates of all 4 atoms:
Ho (0.000, 0.000, 0.817)  -0.23
Mn (0.500, 0.500, 0.000)  3.33
Ac (0.500, 0.500, 0.500)  0.04
Ho (0.000, 0.000, 0.183)  -0.23

Volume   29.61 Å³ per atom
M_tot   3.005 μB per formula unit
E_form   0.15 eV per atom
Excess energy over the best structure of this formula in the dataset   0.00 eV per formula unit


No. 2
Computed, not measured: AcHo2Mn after structural relaxation at the PBE-GGA level of DFT.

Unit cell a=3.530 b=3.530 c=11.591 alpha=81.24 beta=81.24 gamma=60.00
Each line ends with the local moment (μB).
Fractional coordinates of all 4 atoms:
Ac (0.000, 0.000, 0.000)  -0.01
Ho (0.896, 0.896, 0.312)  -0.22
Mn (0.500, 0.500, 0.500)  3.36
Ho (0.104, 0.104, 0.688)  -0.22

Volume   30.78 Å³ per atom
M_tot   2.956 μB per formula unit
E_form   0.41 eV per atom
Excess energy over the best structure of this formula in the dataset   1.05 eV per formula unit


No. 3
Computed, not measured: Ac3HoMn2N6 after structural relaxation at the PBE-GGA level of DFT.

Unit cell a=5.954 b=5.954 c=6.917 alpha=90.00 beta=90.00 gamma=120.00
Each line ends with the local moment (μB).
Fractional coordinates of all 12 atoms:
Mn (0.333, 0.667, 0.209)  1.71
N (0.826, 0.174, 0.708)  0.00
N (0.347, 0.174, 0.708)  0.00
N (0.174, 0.347, 0.292)  0.00
N (0.174, 0.826, 0.292)  0.00
N (0.653, 0.826, 0.292)  0.00
Ac (0.333, 0.667, 0.669)  0.03
Ho (0.000, 0.000, 0.500)  0.10
N (0.826, 0.653, 0.708)  0.00
Ac (0.000, 0.000, 0.000)  0.04
Ac (0.667, 0.333, 0.331)  0.03
Mn (0.667, 0.333, 0.791)  1.71

Volume   17.70 Å³ per atom
M_tot   3.984 μB per formula unit
Formation energy (no corrections)   -928 meV/atom


No. 4
Computed, not measured: Ac2HoMn2N6 after structural relaxation at the PBE-GGA level of DFT.

Unit cell a=5.711 b=5.711 c=6.910 alpha=65.59 beta=65.59 gamma=60.00
Each line ends with the local moment (μB).
Fractional coordinates of all 11 atoms:
N (0.755, 0.260, 0.724)  -0.01
N (0.260, 0.260, 0.724)  -0.01
Ac (0.215, 0.215, 0.355)  0.01
Ac (0.785, 0.785, 0.645)  0.01
Ho (0.000, 0.000, 0.000)  0.04
Mn (0.403, 0.403, 0.792)  0.46
N (0.260, 0.755, 0.724)  -0.01
Mn (0.597, 0.597, 0.208)  0.46
N (0.740, 0.740, 0.276)  -0.01
N (0.245, 0.740, 0.276)  -0.01
N (0.740, 0.245, 0.276)  -0.01

Volume   15.59 Å³ per atom
M_tot   0.976 μB per formula unit
Formation energy (no corrections)   -787 meV/atom


No. 5
Computed, not measured: Ac2HoMnS5 after structural relaxation at the PBE-GGA level of DFT.

Unit cell a=4.080 b=8.744 c=12.325 alpha=90.00 beta=90.00 gamma=103.49
Each line ends with the local moment (μB).
Fractional coordinates of all 18 atoms:
S (0.700, 0.400, 0.171)  0.01
S (0.652, 0.303, 0.512)  0.01
S (0.972, 0.943, 0.530)  0.04
S (0.300, 0.600, 0.671)  0.01
Ac (0.119, 0.238, 0.692)  -0.01
Ho (0.188, 0.376, 0.019)  -0.03
Ho (0.812, 0.624, 0.519)  -0.03
Mn (0.553, 0.105, 0.938)  3.81
S (0.496, 0.991, 0.765)  0.04
Mn (0.447, 0.895, 0.438)  3.81
Ac (0.873, 0.747, 0.832)  0.01
S (0.504, 0.009, 0.265)  0.04
Ac (0.127, 0.253, 0.332)  0.01
S (0.312, 0.623, 0.366)  0.03
S (0.348, 0.697, 0.012)  0.01
Ac (0.881, 0.762, 0.192)  -0.01
S (0.688, 0.377, 0.866)  0.03
S (0.028, 0.057, 0.030)  0.04

Volume   23.75 Å³ per atom
M_tot   4.326 μB per formula unit
Formation energy (no corrections)   -1812 meV/atom


No. 6
Computed, not measured: Ac2HoMnTe5 after structural relaxation at the PBE-GGA level of DFT.

Unit cell a=4.489 b=9.813 c=13.624 alpha=90.00 beta=90.00 gamma=103.22
Each line ends with the local moment (μB).
Fractional coordinates of all 18 atoms:
Te (0.500, 0.001, 0.256)  0.03
Te (0.694, 0.388, 0.177)  0.01
Te (0.697, 0.393, 0.862)  0.01
Ac (0.883, 0.766, 0.840)  0.01
Ho (0.180, 0.360, 0.019)  -0.04
Te (0.980, 0.960, 0.524)  0.02
Te (0.343, 0.685, 0.017)  0.01
Ho (0.820, 0.640, 0.519)  -0.04
Te (0.500, 0.999, 0.756)  0.03
Te (0.306, 0.612, 0.677)  0.01
Ac (0.876, 0.751, 0.197)  -0.01
Te (0.657, 0.315, 0.517)  0.01
Mn (0.439, 0.877, 0.432)  3.81
Te (0.303, 0.607, 0.362)  0.01
Ac (0.124, 0.249, 0.697)  -0.01
Ac (0.117, 0.234, 0.340)  0.01
Mn (0.561, 0.123, 0.932)  3.81
Te (0.020, 0.040, 0.024)  0.02

Volume   32.46 Å³ per atom
M_tot   4.293 μB per formula unit
Formation energy (no corrections)   -1243 meV/atom


No. 7
Computed, not measured: Ac2HoMo2N6 after structural relaxation at the PBE-GGA level of DFT.

Unit cell a=5.893 b=5.893 c=7.113 alpha=65.53 beta=65.53 gamma=60.00
Fractional coordinates of all 11 atoms:
N (0.256, 0.768, 0.719)
N (0.232, 0.744, 0.281)
Ac (0.205, 0.205, 0.384)
N (0.744, 0.232, 0.281)
Ac (0.795, 0.795, 0.616)
Mo (0.398, 0.398, 0.807)
Ho (0.000, 0.000, 0.000)
Mo (0.602, 0.602, 0.193)
N (0.744, 0.744, 0.281)
N (0.768, 0.256, 0.719)
N (0.256, 0.256, 0.719)

Volume   17.08 Å³ per atom
M_tot   0.000 μB per formula unit
Formation energy (no corrections)   -839 meV/atom


No. 8
Computed, not measured: AcHoMoN4 after structural relaxation at the PBE-GGA level of DFT.

Unit cell a=5.903 b=5.965 c=7.076 alpha=90.00 beta=107.90 gamma=90.00
Fractional coordinates of all 14 atoms:
Ac (0.270, 0.250, 0.062)
Ho (0.185, 0.250, 0.531)
N (0.047, 0.508, 0.277)
N (0.465, 0.750, 0.165)
N (0.465, 0.750, 0.581)
N (0.953, 0.492, 0.723)
N (0.535, 0.250, 0.419)
Mo (0.734, 0.250, 0.673)
N (0.047, 0.992, 0.277)
N (0.535, 0.250, 0.835)
Mo (0.266, 0.750, 0.327)
N (0.953, 0.008, 0.723)
Ho (0.815, 0.750, 0.469)
Ac (0.730, 0.750, 0.938)

Volume   16.93 Å³ per atom
M_tot   0.000 μB per formula unit
Formation energy (no corrections)   -1064 meV/atom